Entry 1:
The following is a DFT calculation (PBE-GGA) of crystalline Tc2O7F2 at its relaxed geometry.

Geometry as extended XYZ:
```
22
Lattice="5.077 0.000 0.000 0.000 15.061 0.000 -2.454 0.000 5.178" Properties=species:S:1:pos:R:3 pbc="T T T"
Tc -0.496 1.776 1.717
Tc -1.723 5.754 4.306
Tc 4.346 9.307 0.872
Tc 3.118 13.285 3.460
O -1.227 0.000 2.589
O 0.000 7.530 0.000
O -1.948 9.260 4.752
O -0.721 13.331 2.163
O 0.086 9.719 2.300
O -1.141 12.873 4.889
O 0.443 3.127 2.146
O -0.784 4.403 4.735
O 3.407 10.658 0.443
O 2.180 11.933 3.031
O 3.764 2.188 0.289
O 2.537 5.342 2.878
O 3.344 1.730 3.014
O 4.571 5.800 0.425
F 0.870 0.617 1.145
F -0.357 6.914 3.734
F 2.980 8.147 1.444
F 1.753 14.444 4.032
```

DOS at the Fermi energy (states/eV/cell): 0.00
Electronic total energy (eV per atom): -6.51
Formation energy without anion corrections (meV/atom): -1135
Size of the total moment (μB per cell): 0.0

---

Entry 2:
The following is a DFT calculation (PBE-GGA) of crystalline TcOF2 at its relaxed geometry.

Geometry as extended XYZ:
```
12
Lattice="2.690 0.000 0.000 -1.345 2.330 0.000 0.000 0.000 27.165" Properties=species:S:1:pos:R:3 pbc="T T T"
Tc 0.000 0.000 0.000
Tc 0.000 1.553 18.110
Tc 1.345 0.777 9.055
O 0.000 0.000 13.583
O 0.000 1.553 4.528
O 1.345 0.777 22.638
F 0.000 0.000 1.867
F 0.000 0.000 25.298
F 0.000 1.553 16.243
F 0.000 1.553 19.978
F 1.345 0.777 7.188
F 1.345 0.777 10.922
```

DOS at the Fermi energy (states/eV/cell): 11.68
Electronic total energy (eV per atom): -4.84
Formation energy without anion corrections (meV/atom): -72
Excess energy over the best structure of this formula in the dataset (eV per atom): 1.699
Size of the total moment (μB per cell): 0.8

---

Entry 3:
The following is a DFT calculation (PBE-GGA) of crystalline TcO4F at its relaxed geometry.

Geometry as extended XYZ:
```
24
Lattice="5.166 0.000 0.000 0.000 10.518 0.000 -4.134 0.000 8.516" Properties=species:S:1:pos:R:3 pbc="T T T"
Tc -0.876 1.617 2.544
Tc -2.944 3.642 6.801
Tc 3.975 6.876 1.714
Tc 1.908 8.901 5.972
O -1.830 7.713 5.064
O 0.237 8.063 0.806
O -2.305 2.231 6.071
O -0.237 3.028 1.813
O 0.540 6.443 2.003
O -1.527 9.334 6.261
O -0.207 1.319 4.084
O -2.274 3.940 8.341
O 3.306 6.578 0.174
O 1.239 9.199 4.432
O 2.558 1.184 2.255
O 0.491 4.075 6.512
O 1.269 7.490 6.702
O 3.336 8.287 2.445
O 0.794 2.454 7.710
O 2.862 2.804 3.452
F -0.228 0.226 1.481
F -2.295 5.033 5.738
F 3.326 5.485 2.777
F 1.259 10.292 7.035
```

Electronic total energy (eV per atom): -6.10
Formation energy without anion corrections (meV/atom): -753
Size of the total moment (μB per cell): 8.0

---

It is found that the calculated volume values, taken in the order of the records, are 198.0 56.8 115.7 Å³/f.u..